! MgScAl2 SCAN single point on PBEsol structure; values from VASP
&SYSTEM
  ibrav = 0, nat = 4, ntyp = 3
/
ATOMIC_SPECIES
Sc 44.96 Sc.upf
Mg 24.30 Mg.upf
Al 26.98 Al.upf
ATOMIC_POSITIONS angstrom
Sc -1.9395 0.3146 3.4944
Mg -3.8285 2.4932 1.8226
Al -2.7774 -0.0990 0.7251
Al 0.0958 -1.6979 4.3878
CELL_PARAMETERS angstrom
-1.9338 -2.3388 -0.8628
0.2238 -1.8606 4.5420
-3.0542 4.5853 0.1845
! **D(E_F)**: 3.024 states/eV/f.u.
! **E_tot**: -35.42 eV/f.u.
! **Space group**: Cm, No. 8
! **Total moment**: 0.0 μB/f.u.